1.
Density functional theory data (PBE-GGA) for an optimized crystal structure of CaMgCu2.

Cell: 3.327 3.327 7.080 Å, 90.00 90.00 90.00°
Fractional positions:
Ca (0.000, 0.000, 0.000)
Mg (0.500, 0.500, 0.637)
Cu (0.000, 0.000, 0.417)
Cu (0.500, 0.500, 0.269)

Summary:
Crystal system: tetragonal
Formation energy from the elements: -18 meV/atom
E: -11.86 eV/cell

2.
Density functional theory data (PBE-GGA) for an optimized crystal structure of LiSmErAl.

Cell: 7.328 7.328 7.328 Å, 90.00 90.00 90.00°
Fractional positions:
Li (0.000, 0.000, 0.000)
Li (0.000, 0.500, 0.500)
Li (0.500, 0.000, 0.500)
Li (0.500, 0.500, 0.000)
Sm (0.250, 0.250, 0.250)
Sm (0.250, 0.750, 0.750)
Sm (0.750, 0.250, 0.750)
Sm (0.750, 0.750, 0.250)
Er (0.250, 0.250, 0.750)
Er (0.250, 0.750, 0.250)
Er (0.750, 0.250, 0.250)
Er (0.750, 0.750, 0.750)
Al (0.000, 0.000, 0.500)
Al (0.000, 0.500, 0.000)
Al (0.500, 0.000, 0.000)
Al (0.500, 0.500, 0.500)

Summary:
Crystal system: cubic
Formation energy from the elements: -203 meV/atom
E: -63.00 eV/cell

3.
Density functional theory data (PBE-GGA) for an optimized crystal structure of Re3SbC.

Cell: 4.839 4.839 4.839 Å, 90.00 90.00 90.00°
Fractional positions:
Re (0.000, 0.000, 0.500)
Re (0.000, 0.500, 0.000)
Re (0.500, 0.000, 0.000)
Sb (0.000, 0.000, 0.000)
C (0.500, 0.500, 0.500)

Summary:
Offset from the most stable computed form: 3.394 eV/atom
Crystal system: cubic
E: -30.53 eV/cell

4.
Density functional theory data (PBE-GGA) for an optimized crystal structure of Ca4ZnAu.

Cell: 6.516 6.516 6.516 Å, 60.00 60.00 60.00°
Fractional positions:
Ca (0.125, 0.125, 0.125)
Ca (0.125, 0.125, 0.624)
Ca (0.125, 0.624, 0.125)
Ca (0.624, 0.125, 0.125)
Zn (0.750, 0.750, 0.750)
Au (0.500, 0.500, 0.500)

Summary:
Offset from the most stable computed form: 0.758 eV/atom
Crystal system: cubic
Formation energy from the elements: 387 meV/atom
E: -10.24 eV/cell

5.
Density functional theory data (PBE-GGA) for an optimized crystal structure of RbTeSe2Br.

Cell: 5.979 5.979 5.893 Å, 90.00 90.00 90.00°
Fractional positions:
Rb (0.000, 0.000, 0.000)
Te (0.500, 0.500, 0.500)
Se (0.000, 0.500, 0.000)
Se (0.500, 0.000, 0.000)
Br (0.000, 0.000, 0.500)

Summary:
Offset from the most stable computed form: 1.332 eV/atom
Crystal system: tetragonal
E: -8.34 eV/cell

6.
Density functional theory data (PBE-GGA) for an optimized crystal structure of CaZnTe2O6.

Cell: 8.486 8.486 5.935 Å, 95.27 95.27 116.84°
Fractional positions:
Ca (0.169, 0.831, 0.750)
Ca (0.831, 0.169, 0.250)
Zn (0.253, 0.747, 0.250)
Zn (0.747, 0.253, 0.750)
Te (0.189, 0.384, 0.846)
Te (0.384, 0.189, 0.346)
Te (0.616, 0.811, 0.654)
Te (0.811, 0.616, 0.154)
O (0.019, 0.686, 0.369)
O (0.098, 0.269, 0.093)
O (0.225, 0.620, 0.951)
O (0.269, 0.098, 0.593)
O (0.314, 0.981, 0.131)
O (0.380, 0.775, 0.549)
O (0.620, 0.225, 0.451)
O (0.686, 0.019, 0.869)
O (0.731, 0.902, 0.407)
O (0.775, 0.380, 0.049)
O (0.902, 0.731, 0.907)
O (0.981, 0.314, 0.631)

Summary:
Crystal system: monoclinic
E: -109.99 eV/cell

7.
Density functional theory data (PBE-GGA) for an optimized crystal structure of Zr2IrPd2.

Cell: 7.351 7.351 3.344 Å, 90.00 90.00 90.00°
Fractional positions:
Zr (0.179, 0.321, 0.000)
Zr (0.321, 0.821, 0.000)
Zr (0.679, 0.179, 0.000)
Zr (0.821, 0.679, 0.000)
Ir (0.000, 0.000, 0.500)
Ir (0.500, 0.500, 0.500)
Pd (0.127, 0.627, 0.500)
Pd (0.373, 0.127, 0.500)
Pd (0.627, 0.873, 0.500)
Pd (0.873, 0.373, 0.500)

Summary:
Offset from the most stable computed form: 0.118 eV/atom
Crystal system: tetragonal
Formation energy from the elements: -538 meV/atom
E: -78.06 eV/cell

8.
Density functional theory data (PBE-GGA) for an optimized crystal structure of AcIn12Hg6.

Cell: 8.142 8.142 8.142 Å, 87.26 87.26 87.26°
Fractional positions:
Ac (0.000, 0.000, 0.000)
In (0.084, 0.181, 0.408)
In (0.181, 0.408, 0.084)
In (0.221, 0.569, 0.452)
In (0.408, 0.084, 0.181)
In (0.431, 0.548, 0.779)
In (0.452, 0.221, 0.569)
In (0.548, 0.779, 0.431)
In (0.569, 0.452, 0.221)
In (0.592, 0.916, 0.819)
In (0.779, 0.431, 0.548)
In (0.819, 0.592, 0.916)
In (0.916, 0.819, 0.592)
Hg (0.089, 0.330, 0.747)
Hg (0.253, 0.911, 0.670)
Hg (0.330, 0.747, 0.089)
Hg (0.670, 0.253, 0.911)
Hg (0.747, 0.089, 0.330)
Hg (0.911, 0.670, 0.253)

Summary:
Offset from the most stable computed form: 0.000 eV/atom
Crystal system: trigonal
Formation energy from the elements: -26 meV/atom
E: -39.27 eV/cell

9.
Density functional theory data (PBE-GGA) for an optimized crystal structure of Ce2CdGa4Pd3.

Cell: 4.281 4.281 10.879 Å, 90.00 90.00 90.00°
Fractional positions:
Ce (0.000, 0.500, 0.236)
Ce (0.500, 0.000, 0.764)
Cd (0.000, 0.000, 0.500)
Ga (0.000, 0.000, 0.000)
Ga (0.000, 0.500, 0.645)
Ga (0.500, 0.000, 0.355)
Ga (0.500, 0.500, 0.000)
Pd (0.000, 0.500, 0.871)
Pd (0.500, 0.000, 0.129)
Pd (0.500, 0.500, 0.500)

Summary:
Crystal system: tetragonal
Formation energy from the elements: -647 meV/atom
E: -46.94 eV/cell

10.
Density functional theory data (PBE-GGA) for an optimized crystal structure of Rb2PtBr.

Cell: 9.072 9.072 8.825 Å, 90.00 90.00 90.00°
Fractional positions:
Rb (0.245, 0.250, 0.125)
Rb (0.250, 0.745, 0.375)
Rb (0.250, 0.755, 0.875)
Rb (0.255, 0.250, 0.625)
Rb (0.745, 0.750, 0.625)
Rb (0.750, 0.245, 0.875)
Rb (0.750, 0.255, 0.375)
Rb (0.755, 0.750, 0.125)
Pt (0.000, 0.000, 0.500)
Pt (0.000, 0.500, 0.750)
Pt (0.500, 0.000, 0.250)
Pt (0.500, 0.500, 0.000)
Br (0.000, 0.000, 0.000)
Br (0.000, 0.500, 0.250)
Br (0.500, 0.000, 0.750)
Br (0.500, 0.500, 0.500)

Summary:
Offset from the most stable computed form: 0.056 eV/atom
Crystal system: tetragonal
E: -43.08 eV/cell

11.
Density functional theory data (PBE-GGA) for an optimized crystal structure of CaMgAg3.

Cell: 5.022 5.022 5.022 Å, 90.00 90.00 90.00°
Fractional positions:
Ca (0.000, 0.000, 0.000)
Mg (0.500, 0.500, 0.500)
Ag (0.000, 0.500, 0.500)
Ag (0.500, 0.000, 0.500)
Ag (0.500, 0.500, 0.000)

Summary:
Offset from the most stable computed form: 0.265 eV/atom
Crystal system: cubic
Formation energy from the elements: 121 meV/atom
E: -11.55 eV/cell

12.
Density functional theory data (PBE-GGA) for an optimized crystal structure of Dy11Al9Co4.

Cell: 12.481 12.481 3.575 Å, 90.00 90.00 112.43°
Fractional positions:
Dy (0.000, 0.000, 0.000)
Dy (0.074, 0.415, 0.000)
Dy (0.165, 0.835, 0.000)
Dy (0.312, 0.312, 0.000)
Dy (0.375, 0.625, 0.000)
Dy (0.415, 0.074, 0.000)
Dy (0.585, 0.926, 0.000)
Dy (0.625, 0.375, 0.000)
Dy (0.688, 0.688, 0.000)
Dy (0.835, 0.165, 0.000)
Dy (0.926, 0.585, 0.000)
Al (0.084, 0.221, 0.500)
Al (0.169, 0.630, 0.500)
Al (0.221, 0.084, 0.500)
Al (0.370, 0.831, 0.500)
Al (0.500, 0.500, 0.500)
Al (0.630, 0.169, 0.500)
Al (0.779, 0.916, 0.500)
Al (0.831, 0.370, 0.500)
Al (0.916, 0.779, 0.500)
Co (0.243, 0.447, 0.500)
Co (0.447, 0.243, 0.500)
Co (0.553, 0.757, 0.500)
Co (0.757, 0.553, 0.500)

Summary:
Crystal system: orthorhombic
Formation energy from the elements: -408 meV/atom
E: -122.52 eV/cell